(1)
A relaxed NiW crystal. Source: OQMD, functional PBE.

```
data_NiW
_cell_length_a 5.1900
_cell_length_b 5.1900
_cell_length_c 7.5573
_cell_angle_alpha 90.00
_cell_angle_beta 90.00
_cell_angle_gamma 120.00
_space_group_name_H-M_alt 'P 63/m m c'
_space_group_IT_number 194
_space_group_name_Hall '-P 6c 2c'
loop_
_atom_site_label
_atom_site_type_symbol
_atom_site_fract_x
_atom_site_fract_y
_atom_site_fract_z
Ni1 Ni 0.0000 0.0000 0.0000
Ni2 Ni 0.3333 0.6667 0.0814
W1 W 0.1731 0.3462 0.7500
```

## Properties
- Magnetization: 0.007 μB per atom
- Theoretical density: 13.7 g cm⁻³
- V: 176 Å³ per cell

(2)
A relaxed Hf2Cd3Pd crystal. Source: OQMD, functional PBE.

```
data_Hf2Cd3Pd
_cell_length_a 3.3684
_cell_length_b 3.3684
_cell_length_c 10.4531
_cell_angle_alpha 90.00
_cell_angle_beta 90.00
_cell_angle_gamma 90.00
_space_group_name_H-M_alt 'P 4 m m'
_space_group_IT_number 99
loop_
_space_group_symop_operation_xyz
'x,y,z'
'-y,x,z'
'-x,-y,z'
'y,-x,z'
'-x,y,z'
'y,x,z'
'x,-y,z'
'-y,-x,z'
loop_
_atom_site_label
_atom_site_type_symbol
_atom_site_fract_x
_atom_site_fract_y
_atom_site_fract_z
Hf1 Hf 0.0000 0.0000 0.0000
Hf2 Hf 0.5000 0.5000 0.4592
Cd1 Cd 0.0000 0.0000 0.6429
Cd2 Cd 0.5000 0.5000 0.1698
Cd3 Cd 0.5000 0.5000 0.8136
Pd1 Pd 0.0000 0.0000 0.3245
```

## Properties
- Magnetization: 0.037 μB per atom
- Theoretical density: 11.2 g cm⁻³
- V: 119 Å³ per cell

Number 1: formation enthalpy at 0 K 1.057 eV per formula unit. Number 2: formation enthalpy at 0 K -0.896 eV per formula unit.